# 1
Here is Rb3TlAs2O8 after structural relaxation from Alexandria. Energies are from PBE.

The value obtained for the total energy is -0.193 hartree per atom. The uncorrected formation energy is -1.386 eV/atom. The value obtained for the total moment is 0.00 μB per cell.

a b c (Å): 5.9641 5.9641 8.2707
angles (deg): 90.00 90.00 120.00
Space group P-3m1 (No. 164)
Asymmetric unit:
Rb: 0.0000 0.0000 0.0000 x1
Rb: 0.3333 0.6667 0.7303 x2
Tl: 0.0000 0.0000 0.5000 x1
As: 0.3333 0.6667 0.2629 x2
O: 0.1728 0.3457 0.3271 x6
O: 0.3333 0.6667 0.0591 x2

# 2
Here is Rb2TlAsO4 after structural relaxation from Alexandria. Energies are from PBE.

The value obtained for the total energy is -0.185 hartree per atom. The uncorrected formation energy is -1.428 eV/atom. For the density of states at the Fermi level, the calculation gives 0.00 states/eV/f.u. The value obtained for the total moment is 0.00 μB per cell.

a b c (Å): 6.7764 6.7764 7.6439
angles (deg): 90.00 90.00 90.00
Space group I-4 (No. 82)
Asymmetric unit:
Rb: 0.0000 0.0000 0.0000 x2
Rb: 0.0000 0.5000 0.2500 x2
Tl: 0.0000 0.0000 0.5000 x2
As: 0.0000 0.5000 0.7500 x2
O: 0.1421 0.3453 0.6196 x8

# 3
Here is RbTlAs2O6 after structural relaxation from Alexandria. Energies are from PBE.

The value obtained for the total energy is -0.204 hartree per atom. The uncorrected formation energy is -1.302 eV/atom. For the density of states at the Fermi level, the calculation gives 0.00 states/eV/f.u. The value obtained for the total moment is 0.00 μB per cell.

a b c (Å): 11.7966 12.7901 5.0911
angles (deg): 90.00 90.87 90.00
Space group C2/c (No. 15)
Asymmetric unit:
Rb: 0.0000 0.1887 0.2500 x4
Tl: 0.0000 0.3977 0.7500 x4
As: 0.2307 0.0802 0.7161 x8
O: 0.1271 0.4091 0.2608 x8
O: 0.1432 0.1791 0.7752 x8
O: 0.1873 0.0371 0.3899 x8

# 4
Here is RbTlAsO2 after structural relaxation from Alexandria. Energies are from PBE.

The value obtained for the total energy is -0.127 hartree per atom. The uncorrected formation energy is 0.111 eV/atom. For the density of states at the Fermi level, the calculation gives 2.57 states/eV/f.u. The value obtained for the total moment is 0.00 μB per cell.

a b c (Å): 4.3750 4.3750 5.7178
angles (deg): 90.00 90.00 90.00
Space group P4/mmm (No. 123)
Asymmetric unit:
Rb: 0.0000 0.0000 0.0000 x1
Tl: 0.5000 0.5000 0.0000 x1
As: 0.0000 0.0000 0.5000 x1
O: 0.0000 0.5000 0.5000 x2

# 5
Here is RbTl2AsO6 after structural relaxation from Alexandria. Energies are from PBE.

The value obtained for the total energy is -0.186 hartree per atom. The uncorrected formation energy is -1.039 eV/atom. The value obtained for the total moment is 0.37 μB per cell.

a b c (Å): 9.7143 13.0538 6.7698
angles (deg): 90.00 114.21 90.00
Space group C2/c (No. 15)
Asymmetric unit:
Rb: 0.0000 0.1027 0.2500 x4
Tl: 0.1250 0.4146 0.1339 x8
As: 0.0000 0.1904 0.7500 x4
O: 0.0825 0.2545 0.9910 x8
O: 0.1265 0.1047 0.7171 x8
O: 0.1257 0.4377 0.4675 x8

# 6
Here is Rb3TmAs2O8 after structural relaxation from Alexandria. Energies are from PBE.

The value obtained for the total energy is -0.222 hartree per atom. The uncorrected formation energy is -2.013 eV/atom. For the density of states at the Fermi level, the calculation gives 0.00 states/eV/f.u. The value obtained for the total moment is 0.00 μB per cell.

a b c (Å): 5.9491 5.9491 8.1669
angles (deg): 90.00 90.00 120.00
Space group P-3m1 (No. 164)
Asymmetric unit:
Rb: 0.0000 0.0000 0.0000 x1
Rb: 0.3333 0.6667 0.7272 x2
Tm: 0.0000 0.0000 0.5000 x1
As: 0.3333 0.6667 0.2673 x2
O: 0.1756 0.3512 0.3419 x6
O: 0.3333 0.6667 0.0611 x2